Entry from the Open Quantum Materials Database: an optimized crystal structure of YZrCuB (PBE).

- Excess energy over the best structure of this formula in the dataset: 46.2 meV/atom
- Mass density: 6.07 Mg/m³

Lattice parameters (Å, degrees): 6.5312 6.5312 6.5312 90.00 90.00 90.00
Closest atoms and distances in Å follow each position.
Fractional coordinates of all 16 atoms:
1 Y 0.0000 0.0000 0.0000  4 Zr 2.83, 4 B 2.83
2 Y 0.0000 0.5000 0.5000  4 Zr 2.83, 4 B 2.83
3 Y 0.5000 0.0000 0.5000  4 Zr 2.83, 4 B 2.83
4 Y 0.5000 0.5000 0.0000  4 Zr 2.83, 4 B 2.83
5 Zr 0.2500 0.2500 0.7500  4 Cu 2.83, 4 Y 2.83
6 Zr 0.2500 0.7500 0.2500  4 Cu 2.83, 4 Y 2.83
7 Zr 0.7500 0.2500 0.2500  4 Cu 2.83, 4 Y 2.83
8 Zr 0.7500 0.7500 0.7500  4 Y 2.83, 4 Cu 2.83
9 Cu 0.0000 0.0000 0.5000  4 Zr 2.83, 4 B 2.83
10 Cu 0.0000 0.5000 0.0000  4 Zr 2.83, 4 B 2.83
11 Cu 0.5000 0.0000 0.0000  4 Zr 2.83, 4 B 2.83
12 Cu 0.5000 0.5000 0.5000  4 Zr 2.83, 4 B 2.83
13 B 0.2500 0.2500 0.2500  4 Cu 2.83, 4 Y 2.83
14 B 0.2500 0.7500 0.7500  4 Cu 2.83, 4 Y 2.83
15 B 0.7500 0.2500 0.7500  4 Cu 2.83, 4 Y 2.83
16 B 0.7500 0.7500 0.2500  4 Cu 2.83, 4 Y 2.83



Entry from the Open Quantum Materials Database: an optimized crystal structure of YZrCuB (PBE).

- Excess energy over the best structure of this formula in the dataset: 0.0 meV/atom
- Mass density: 6.24 Mg/m³

Lattice parameters (Å, degrees): 6.4690 6.4690 6.4690 90.00 90.00 90.00
Closest atoms and distances in Å follow each position.
Fractional coordinates of all 16 atoms:
1 Y 0.0000 0.0000 0.0000  4 Zr 2.80, 4 Cu 2.80
2 Y 0.0000 0.5000 0.5000  4 Zr 2.80, 4 Cu 2.80
3 Y 0.5000 0.0000 0.5000  4 Zr 2.80, 4 Cu 2.80
4 Y 0.5000 0.5000 0.0000  4 Zr 2.80, 4 Cu 2.80
5 Zr 0.2500 0.2500 0.2500  4 B 2.80, 4 Y 2.80
6 Zr 0.2500 0.7500 0.7500  4 B 2.80, 4 Y 2.80
7 Zr 0.7500 0.2500 0.7500  4 B 2.80, 4 Y 2.80
8 Zr 0.7500 0.7500 0.2500  4 B 2.80, 4 Y 2.80
9 Cu 0.2500 0.2500 0.7500  4 B 2.80, 4 Y 2.80
10 Cu 0.2500 0.7500 0.2500  4 B 2.80, 4 Y 2.80
11 Cu 0.7500 0.2500 0.2500  4 B 2.80, 4 Y 2.80
12 Cu 0.7500 0.7500 0.7500  4 B 2.80, 4 Y 2.80
13 B 0.0000 0.0000 0.5000  4 Zr 2.80, 4 Cu 2.80
14 B 0.0000 0.5000 0.0000  4 Zr 2.80, 4 Cu 2.80
15 B 0.5000 0.0000 0.0000  4 Zr 2.80, 4 Cu 2.80
16 B 0.5000 0.5000 0.5000  4 Zr 2.80, 4 Cu 2.80